Record 1
# RbBa2HfTl

A relaxed RbBa2HfTl crystal (PBE-GGA, Alexandria).

Structure (extended XYZ):
```
5
Lattice="6.315 0.000 0.000 0.000 6.315 0.000 0.000 0.000 6.715" Properties=species:S:1:pos:R:3 pbc="T T T"
Rb 0.000 0.000 0.000
Ba 0.000 3.158 3.358
Ba 3.158 0.000 3.358
Hf 0.000 0.000 3.358
Tl 3.158 3.158 0.000
```

Summary:
Crystal system: tetragonal
D(E_F) (states/eV/cell): 6.24
DFT formation energy (kcal/mol of atoms): 21.15
Space group: P4/mmm (123)
Spin magnetization (μB/atom): 0.098


Record 2
# MnAgW2

A relaxed MnAgW2 crystal (PBE-GGA, Alexandria).

Structure (extended XYZ):
```
8
Lattice="3.180 0.000 0.000 0.000 4.360 0.000 0.000 0.000 8.960" Properties=species:S:1:pos:R:3 pbc="T T T"
Mn 0.000 0.000 0.000
Mn 1.590 2.180 4.480
Ag 0.000 0.000 4.480
Ag 1.590 2.180 0.000
W 0.000 2.180 2.382
W 0.000 2.180 6.577
W 1.590 0.000 2.097
W 1.590 0.000 6.862
```

Summary:
Relative energy among the computed polymorphs (meV/atom): 192
Crystal system: orthorhombic
D(E_F) (states/eV/cell): 8.21
DFT formation energy (kcal/mol of atoms): 11.96
Space group: Immm (71)
Spin magnetization (μB/atom): 0.498


Record 3
# KZr2As

A relaxed KZr2As crystal (PBE-GGA, Alexandria).

Structure (extended XYZ):
```
8
Lattice="3.621 0.000 0.000 0.000 3.977 0.000 0.000 0.000 17.199" Properties=species:S:1:pos:R:3 pbc="T T T"
K 0.000 0.000 0.000
K 1.810 1.988 8.600
Zr 0.000 0.000 11.682
Zr 0.000 1.988 13.927
Zr 1.810 0.000 5.328
Zr 1.810 1.988 3.083
As 0.000 1.988 5.312
As 1.810 0.000 13.911
```

Summary:
Crystal system: orthorhombic
D(E_F) (states/eV/cell): 10.07
DFT formation energy (kcal/mol of atoms): 0.08
Space group: Imm2 (44)
Spin magnetization (μB/atom): 0.134


Record 4
# ScTa2W

A relaxed ScTa2W crystal (PBE-GGA, Alexandria).

Structure (extended XYZ):
```
4
Lattice="2.781 0.000 0.000 0.000 2.781 0.000 0.000 0.000 9.653" Properties=species:S:1:pos:R:3 pbc="T T T"
Sc 0.000 0.000 0.000
Ta 1.391 1.391 2.524
Ta 1.391 1.391 7.130
W 0.000 0.000 4.827
```

Summary:
Crystal system: tetragonal
D(E_F) (states/eV/cell): 5.45
DFT formation energy (kcal/mol of atoms): 6.86
Space group: P4/mmm (123)
Spin magnetization (μB/atom): 0.000


Record 5
# PmPdI

A relaxed PmPdI crystal (PBE-GGA, Alexandria).

Structure (extended XYZ):
```
6
Lattice="3.793 0.000 0.000 0.000 3.793 0.000 0.000 0.000 11.097" Properties=species:S:1:pos:R:3 pbc="T T T"
Pm 0.000 0.000 0.000
Pm 1.896 1.896 5.549
Pd 0.000 0.000 4.195
Pd 1.896 1.896 9.743
I 0.000 0.000 7.738
I 1.896 1.896 2.189
```

Summary:
Relative energy among the computed polymorphs (meV/atom): 340
Crystal system: tetragonal
Formation energy from raw total energies (eV per atom): -0.715
D(E_F) (states/eV/cell): 1.06
Space group: I4mm (107)
Spin magnetization (μB/atom): 0.000


Record 6
# P2SNCl

A relaxed P2SNCl crystal (PBE-GGA, Alexandria).

Structure (extended XYZ):
```
5
Lattice="4.773 0.000 0.000 0.000 4.773 0.000 0.000 0.000 4.611" Properties=species:S:1:pos:R:3 pbc="T T T"
P 0.000 2.386 0.000
P 2.386 0.000 0.000
S 0.000 0.000 2.306
N 2.386 2.386 2.306
Cl 0.000 0.000 0.000
```

Summary:
Relative energy among the computed polymorphs (meV/atom): 1097
Crystal system: tetragonal
Formation energy from raw total energies (eV per atom): 2.386
D(E_F) (states/eV/cell): 3.02
Space group: P4/mmm (123)
Spin magnetization (μB/atom): 0.191


Record 7
# InCo2Mo

A relaxed InCo2Mo crystal (PBE-GGA, Alexandria).

Structure (extended XYZ):
```
12
Lattice="2.843 0.000 0.000 -1.421 2.462 0.000 0.000 0.000 25.646" Properties=species:S:1:pos:R:3 pbc="T T T"
In 0.000 0.000 0.000
In 0.000 1.641 17.098
In 1.421 0.821 8.549
Co 0.000 0.000 6.338
Co 0.000 0.000 13.074
Co 0.000 1.641 4.525
Co 0.000 1.641 23.435
Co 1.421 0.821 14.887
Co 1.421 0.821 21.623
Mo 0.000 0.000 19.594
Mo 0.000 1.641 11.045
Mo 1.421 0.821 2.496
```

Summary:
Crystal system: trigonal
D(E_F) (states/eV/cell): 14.27
DFT formation energy (kcal/mol of atoms): 10.34
Space group: R3m (160)
Spin magnetization (μB/atom): 0.699


Record 8
# Hg2BiBMo

A relaxed Hg2BiBMo crystal (PBE-GGA, Alexandria).

Structure (extended XYZ):
```
5
Lattice="4.404 0.000 0.000 0.000 4.404 0.000 0.000 0.000 5.949" Properties=species:S:1:pos:R:3 pbc="T T T"
Hg 0.000 2.202 0.000
Hg 2.202 0.000 0.000
Bi 0.000 0.000 2.974
B 0.000 0.000 0.000
Mo 2.202 2.202 2.974
```

Summary:
Crystal system: tetragonal
D(E_F) (states/eV/cell): 1.45
DFT formation energy (kcal/mol of atoms): 25.32
Space group: P4/mmm (123)
Spin magnetization (μB/atom): 0.767


Record 9
# SrZnMo2

A relaxed SrZnMo2 crystal (PBE-GGA, Alexandria).

Structure (extended XYZ):
```
8
Lattice="5.707 0.000 0.000 0.000 10.306 0.000 -0.927 0.000 2.599" Properties=species:S:1:pos:R:3 pbc="T T T"
Sr 0.000 0.000 0.000
Sr 2.854 5.153 0.000
Zn 0.000 5.153 0.000
Zn 2.854 0.000 0.000
Mo 0.964 2.576 1.299
Mo 0.964 7.729 1.299
Mo 3.817 2.576 1.299
Mo 3.817 7.729 1.299
```

Summary:
Crystal system: monoclinic
D(E_F) (states/eV/cell): 8.18
DFT formation energy (kcal/mol of atoms): 20.06
Space group: C2/m (12)
Spin magnetization (μB/atom): 0.000


Record 10
# SmYCuPd

A relaxed SmYCuPd crystal (PBE-GGA, Alexandria).

Structure (extended XYZ):
```
16
Lattice="7.079 0.000 0.000 0.000 7.079 0.000 0.000 0.000 7.079" Properties=species:S:1:pos:R:3 pbc="T T T"
Sm 0.000 0.000 0.000
Sm 0.000 3.539 3.539
Sm 3.539 0.000 3.539
Sm 3.539 3.539 0.000
Y 0.000 0.000 3.539
Y 0.000 3.539 0.000
Y 3.539 0.000 0.000
Y 3.539 3.539 3.539
Cu 1.770 1.770 5.309
Cu 1.770 5.309 1.770
Cu 5.309 1.770 1.770
Cu 5.309 5.309 5.309
Pd 1.770 1.770 1.770
Pd 1.770 5.309 5.309
Pd 5.309 1.770 5.309
Pd 5.309 5.309 1.770
```

Summary:
Relative energy among the computed polymorphs (meV/atom): 40
Crystal system: cubic
D(E_F) (states/eV/cell): 9.92
DFT formation energy (kcal/mol of atoms): -12.00
Space group: F-43m (216)
Spin magnetization (μB/atom): 0.000


Record 11
# ZrC2I

A relaxed ZrC2I crystal (PBE-GGA, Alexandria).

Structure (extended XYZ):
```
16
Lattice="6.140 0.000 0.000 0.000 6.140 0.000 0.000 0.000 6.140" Properties=species:S:1:pos:R:3 pbc="T T T"
Zr 0.000 0.000 0.000
Zr 0.000 3.070 3.070
Zr 3.070 0.000 3.070
Zr 3.070 3.070 0.000
C 1.535 1.535 1.535
C 1.535 1.535 4.605
C 1.535 4.605 1.535
C 1.535 4.605 4.605
C 4.605 1.535 1.535
C 4.605 1.535 4.605
C 4.605 4.605 1.535
C 4.605 4.605 4.605
I 0.000 0.000 3.070
I 0.000 3.070 0.000
I 3.070 0.000 0.000
I 3.070 3.070 3.070
```

Summary:
Relative energy among the computed polymorphs (meV/atom): 594
Crystal system: cubic
Formation energy from raw total energies (eV per atom): 2.029
D(E_F) (states/eV/cell): 18.39
Space group: Fm-3m (225)
Spin magnetization (μB/atom): 0.000


Record 12
# Cs3Mo2N5

A relaxed Cs3Mo2N5 crystal (PBE-GGA, Alexandria).

Structure (extended XYZ):
```
40
Lattice="-6.908 6.908 5.006 6.908 -6.908 5.006 6.908 6.908 -5.006" Properties=species:S:1:pos:R:3 pbc="T T T"
Cs 0.000 0.000 0.000
Cs 3.276 -1.189 2.009
Cs 8.097 3.276 -0.495
Cs 6.908 0.000 2.372
Cs 10.541 1.189 2.009
Cs 2.833 5.826 0.272
Cs 0.000 0.000 4.875
Cs 5.826 4.075 2.775
Cs 4.075 1.082 5.278
Cs -1.189 3.632 4.512
Cs 0.000 6.908 2.503
Cs 1.082 2.833 7.782
Mo 5.215 4.242 -2.974
Mo 4.242 1.693 -0.471
Mo 5.488 -3.065 5.581
Mo 1.693 2.666 2.032
Mo -3.843 5.488 3.078
Mo 1.420 9.973 0.574
Mo 2.666 5.215 4.535
Mo 3.843 8.328 3.078
N 4.632 -4.235 4.314
N 5.633 1.946 0.574
N 2.667 2.336 0.408
N 4.962 5.633 -1.929
N 6.363 -1.793 4.734
N -0.215 2.776 1.651
N 1.946 1.275 3.077
N 4.235 -2.276 6.817
N 2.336 4.241 2.911
N 0.545 8.701 -0.272
N 1.793 -0.545 7.238
N 2.276 11.143 -0.692
N 5.115 7.453 2.231
N 2.673 9.184 1.811
N 4.241 4.572 5.414
N -2.776 6.693 4.154
N 1.275 4.962 5.581
N 2.776 7.123 4.154
N 0.215 11.040 1.651
N -2.336 9.575 2.911
```

Summary:
Crystal system: tetragonal
Formation energy from raw total energies (eV per atom): -0.394
Space group: I4_1 (80)
Spin magnetization (μB/atom): 0.000


> Which of these has the highest spin magnetization?

Hg2BiBMo


> Look up the spin magnetization of the twelfth one.

0.000 μB/atom